{
  "formula": "TbSm2Y6Sc3",
  "functional": "GGA-PBE",
  "state": "optimized geometry",
  "lattice": [[-3.475, -0.564, -4.971], [5.597, -2.403, 0.090], [-4.952, -8.746, 5.697]],
  "species": ["Y", "Y", "Y", "Sm", "Sc", "Y", "Sc", "Sc", "Y", "Y", "Sm", "Tb"],
  "frac_coords": [[0.754, 0.754, 0.260], [0.420, 0.087, 0.260], [0.913, 0.580, 0.740], [0.333, 0.667, 0.000], [0.166, 0.834, 0.500], [0.580, 0.913, 0.740], [0.500, 0.500, 0.500], [0.834, 0.166, 0.500], [0.246, 0.246, 0.740], [0.087, 0.420, 0.260], [0.667, 0.333, 0.000], [0.000, 0.000, 0.000]],
  "e_form_ev_per_atom": 0.0512,
  "total_energy_ev_per_cell": -71.23,
  "dos_ef_per_ev_fu": 18.962
}